# PBE with a Hubbard U HoCdWO6, relaxed
# total energy	-0.494	Ry per atom
# total magnetic moment	1.06	μB/f.u.
# crystal system	trigonal
data_HoCdWO6
_space_group_name_H-M_alt 'P 3 1 2'
_space_group_IT_number 149
_cell_length_a 5.5951
_cell_length_b 5.5951
_cell_length_c 4.6745
_cell_angle_alpha 90.00
_cell_angle_beta 90.00
_cell_angle_gamma 120.00
loop_
_space_group_symop_operation_xyz
'x,y,z'
'-y,x-y,z'
'-x+y,-x,z'
'-y,-x,-z'
'-x+y,y,-z'
'x,x-y,-z'
loop_
_atom_site_label
_atom_site_fract_x
_atom_site_fract_y
_atom_site_fract_z
Ho1 0.0000 0.0000 0.0000
Cd1 0.6667 0.3333 0.5000
W1 0.3333 0.6667 0.0000
O1 0.0415 0.3725 0.2281